# 1
GeAsC2Cl after structural relaxation, computed with GGA-PBE.

Unit cell a=4.1539 b=4.1539 c=4.8277 alpha=90.00 beta=90.00 gamma=90.00
Last column: nearest neighbours and their distance in Å.
Space group P4/mmm (No. 123)
One atom of each set of equivalent atoms:
Ge1 0.0000 0.0000 0.0000 [1 per cell]  2 Cl 2.41
As1 0.5000 0.5000 0.0000 [1 per cell]  4 Ge 2.94, 8 C 3.18
C1 0.0000 0.5000 0.5000 [2 per cell]  2 Cl 2.08
Cl1 0.0000 0.0000 0.5000 [1 per cell]  4 C 2.08

Results
Formation energy (no corrections) in eV per atom: 2.632
Size of the total moment in μB per atom: 0.12

=====

# 2
CsTlBr3 after structural relaxation, computed with GGA-PBE.

Unit cell a=5.7212 b=8.7541 c=8.9163 alpha=90.00 beta=108.51 gamma=90.00
Last column: nearest neighbours and their distance in Å.
Space group P2_1/m (No. 11)
One atom of each set of equivalent atoms:
Cs1 0.1978 0.2500 0.4000 [2 per cell]  7 Br 3.66-3.71
Tl1 0.4870 0.2500 0.9728 [2 per cell]  6 Br 2.86-3.16
Br1 0.0160 0.7500 0.0331 [2 per cell]  2 Tl 2.86
Br2 0.3719 0.5171 0.7410 [4 per cell]  2 Tl 3.05-3.16

Results
Formation energy (no corrections) in eV per atom: -1.067
Size of the total moment in μB per atom: 0.00

=====

# 3
Ba8SnAu2 after structural relaxation, computed with GGA-PBE.

Unit cell a=10.6782 b=15.3014 c=6.3098 alpha=90.00 beta=103.70 gamma=90.00
Last column: nearest neighbours and their distance in Å.
Space group Cm (No. 8)
One atom of each set of equivalent atoms:
Ba1 0.0000 0.0000 0.0000 [2 per cell]  2 Au 3.48, 1 Sn 3.81
Ba2 0.0579 0.3688 0.7926 [4 per cell]  2 Au 3.47-3.58
Ba3 0.1776 0.1310 0.6124 [4 per cell]  2 Au 3.47-3.57
Ba4 0.2352 0.5000 0.3990 [2 per cell]  2 Au 3.48, 1 Sn 3.85
Ba5 0.3687 0.2423 0.2006 [4 per cell]  2 Au 3.36, 1 Sn 3.71
Sn1 0.3667 0.0000 0.1770 [2 per cell]  6 Ba 3.71-4.05
Au1 0.3679 0.3177 0.7005 [4 per cell]  8 Ba 3.36-3.58

Results
Size of the total moment in μB per atom: 0.00
Energy of formation in kJ per mole of atoms: -33.71

=====

# 4
Nb2TeCl after structural relaxation, computed with GGA-PBE.

Unit cell a=6.7139 b=6.7139 c=6.7139 alpha=90.00 beta=90.00 gamma=90.00
Last column: nearest neighbours and their distance in Å.
Space group Fm-3m (No. 225)
One atom of each set of equivalent atoms:
Nb1 0.2500 0.2500 0.2500 [8 per cell]  4 Cl 2.91, 4 Te 2.91
Te1 0.0000 0.0000 0.0000 [4 per cell]  8 Nb 2.91
Cl1 0.0000 0.0000 0.5000 [4 per cell]  8 Nb 2.91

Results
Formation energy (no corrections) in eV per atom: 0.146
Energy relative to the lowest polymorph listed for this composition in meV per atom: 0
Size of the total moment in μB per atom: 0.55